Record 1
VASP calculation (SCAN) on a PBEsol-optimized structure of MnFeNi6.

Unit cell a=6.986 b=9.896 c=9.893 alpha=90.00 beta=90.00 gamma=90.00
Space group Cmmm (No. 65)
One atom of each set of equivalent atoms:
Mn 0.000 0.000 0.250 [4 per cell]
Mn 0.000 0.249 0.000 [4 per cell]
Fe 0.000 0.249 0.500 [4 per cell]
Fe 0.000 0.500 0.249 [4 per cell]
Ni 0.000 0.000 0.000 [2 per cell]
Ni 0.000 0.000 0.500 [2 per cell]
Ni 0.000 0.251 0.252 [8 per cell]
Ni 0.000 0.500 0.000 [2 per cell]
Ni 0.000 0.500 0.500 [2 per cell]
Ni 0.248 0.374 0.376 [16 per cell]
Ni 0.248 0.376 0.126 [16 per cell]

Calculated values
Energy relative to the elements   -0.227 eV per atom
Magnetization   86.89 Bohr magnetons per cell
V   10.69 Å³/atom

=====

Record 2
VASP calculation (SCAN) on a PBEsol-optimized structure of Mn13Fe3O32.

Unit cell a=11.230 b=11.348 c=9.689 alpha=90.00 beta=124.55 gamma=90.00
Space group C2/m (No. 12)
One atom of each set of equivalent atoms:
Mn 0.000 0.000 0.000 [2 per cell]
Mn 0.000 0.375 0.250 [8 per cell]
Mn 0.001 0.125 0.748 [8 per cell]
Mn 0.250 0.000 0.998 [4 per cell]
Mn 0.250 0.250 0.500 [4 per cell]
Fe 0.000 0.252 0.500 [4 per cell]
Fe 0.000 0.500 0.000 [2 per cell]
O 0.104 0.000 0.237 [4 per cell]
O 0.104 0.500 0.235 [4 per cell]
O 0.105 0.251 0.734 [8 per cell]
O 0.117 0.140 0.488 [8 per cell]
O 0.117 0.389 0.988 [8 per cell]
O 0.118 0.111 0.985 [8 per cell]
O 0.118 0.249 0.263 [8 per cell]
O 0.118 0.362 0.487 [8 per cell]
O 0.119 0.000 0.761 [4 per cell]
O 0.119 0.500 0.765 [4 per cell]

Calculated values
Magnetization   90.00 Bohr magnetons per cell
V   10.59 Å³/atom

=====

Record 3
VASP calculation (SCAN) on a PBEsol-optimized structure of MnFeO2.

Unit cell a=5.200 b=5.200 c=5.200 alpha=90.00 beta=90.00 gamma=90.00
Space group Fm-3m (No. 225)
One atom of each set of equivalent atoms:
Mn 0.000 0.000 0.000 [4 per cell]
Fe 0.000 0.000 0.500 [4 per cell]
O 0.250 0.250 0.250 [8 per cell]

Calculated values
Magnetization   31.57 Bohr magnetons per cell
V   8.79 Å³/atom

=====

Sequential raw total energy output: -1081.95 -1165.54 -212.05 eV for the cell shown